! TaSnRh2, relaxed, DFT GGA-PBE; values from VASP
&SYSTEM
  ibrav = 0, nat = 4, ntyp = 3
/
ATOMIC_SPECIES
Sn 118.71 Sn.upf
Ta 180.95 Ta.upf
Rh 102.91 Rh.upf
CELL_PARAMETERS angstrom
-0.832 -2.623 -1.120
1.596 0.539 -2.448
5.979 -3.255 3.182
ATOMIC_POSITIONS angstrom
Sn 0.382 -1.042 -1.784
Ta 3.371 -2.670 -0.193
Rh 1.511 -0.823 0.804
Rh 4.468 -2.432 2.378
! energy relative to the elements = -1.55 eV/f.u.
! crystal system = tetragonal
! symmetry = P4/mmm (123)
! N(E_F) = 0.925 states/eV/atom
! density = 12.651 g cm⁻³
! E = -0.5900 Ry per atom


! Ta2SnRh2, relaxed, DFT GGA-PBE; values from VASP
&SYSTEM
  ibrav = 0, nat = 5, ntyp = 3
/
ATOMIC_SPECIES
Ta 180.95 Ta.upf
Rh 102.91 Rh.upf
Sn 118.71 Sn.upf
CELL_PARAMETERS angstrom
4.341 0.000 0.000
0.000 4.341 0.000
2.170 2.170 5.281
ATOMIC_POSITIONS angstrom
Ta 4.341 2.170 2.640
Ta 2.170 4.341 2.640
Rh 4.341 4.341 3.999
Rh 2.170 2.170 1.282
Sn 0.000 0.000 0.000
! energy relative to the elements = -0.51 eV/f.u.
! crystal system = tetragonal
! symmetry = I4/mmm (139)
! N(E_F) = 0.400 states/eV/atom
! density = 11.455 g cm⁻³
! E = -0.6309 Ry per atom


! Ta2Sn2Rh, relaxed, DFT GGA-PBE; values from VASP
&SYSTEM
  ibrav = 0, nat = 10, ntyp = 3
/
ATOMIC_SPECIES
Sn 118.71 Sn.upf
Ta 180.95 Ta.upf
Rh 102.91 Rh.upf
CELL_PARAMETERS angstrom
6.820 0.000 0.000
0.000 6.820 0.000
0.000 0.000 4.397
ATOMIC_POSITIONS angstrom
Sn 2.255 1.155 2.199
Sn 5.665 2.255 2.199
Sn 4.566 5.665 2.199
Sn 1.155 4.566 2.199
Ta 0.963 2.447 0.000
Ta 2.447 5.858 0.000
Ta 5.858 4.373 0.000
Ta 4.373 0.963 0.000
Rh 3.410 3.410 0.000
Rh 0.000 0.000 0.000
! energy relative to the elements = 1.31 eV/f.u.
! crystal system = tetragonal
! symmetry = P4/mbm (127)
! N(E_F) = 0.500 states/eV/atom
! density = 11.402 g cm⁻³
! polymorph energy (0 for the lowest one) = 0 meV per atom
! E = -0.5550 Ry per atom